Record 1
Material: VOsBr2
Method: DFT, PBE
State: optimized geometry

Its density is 8.709 g/cm³. The final energy comes out at -20.4 eV/f.u. As for the spin magnetization: 2.3 Bohr magnetons per cell.

Unit cell a=4.3995 b=4.3995 c=8.4906 alpha=74.98 beta=74.98 gamma=90.00
Closest atoms and distances in Å follow each position.
Positions (direct):
1 Br 0.1251 0.6250 0.2500  2 V 2.51, 2 Os 2.51
2 Os 0.0000 0.0000 0.0000  4 Br 2.51
3 Br 0.6249 0.1250 0.2500  2 V 2.51, 2 Os 2.51
4 Br 0.8750 0.8749 0.7500  2 V 2.51, 2 Os 2.51
5 V 0.5000 0.5000 0.0000  4 Br 2.51
6 V 0.2500 0.7500 0.5000  4 Br 2.51
7 Os 0.7500 0.2500 0.5000  4 Br 2.51
8 Br 0.3750 0.3751 0.7500  2 V 2.51, 2 Os 2.51


Record 2
Material: MgTcAgOs2
Method: DFT, PBE
State: optimized geometry

The formation energy comes out at 2.39 eV/atom. Its density is 9.839 g/cm³. As for the spin magnetization: 3.9 Bohr magnetons per cell.

Unit cell a=4.8263 b=4.4245 c=4.8263 alpha=90.00 beta=90.00 gamma=90.00
Closest atoms and distances in Å follow each position.
Positions (direct):
1 Mg 0.0000 0.5000 0.0000  2 Ag 2.21
2 Os 0.5000 0.0000 0.0000  2 Ag 2.41
3 Ag 0.0000 0.0000 0.0000  2 Mg 2.21, 4 Os 2.41
4 Tc 0.5000 0.5000 0.5000  8 Os 3.27, 4 Mg 3.41
5 Os 0.0000 0.0000 0.5000  2 Ag 2.41


Record 3
Material: Nd2Mg12Tl7
Method: DFT, PBE
State: optimized geometry

The formation energy comes out at -0.11 eV/atom. Its density is 6.271 g/cm³. As for the spin magnetization: 0.0 Bohr magnetons per cell.

Unit cell a=4.5105 b=11.6751 c=11.6751 alpha=120.00 beta=90.00 gamma=90.00
Closest atoms and distances in Å follow each position.
Positions (direct):
1 Nd 0.7341 0.6667 0.3333  6 Tl 3.37-3.44
2 Mg 0.2504 0.6103 0.0386  4 Tl 2.90-2.97, 2 Mg 3.19-3.20
3 Mg 0.7529 0.2675 0.1606  4 Tl 2.95-3.04, 3 Mg 3.27-3.29
4 Tl 0.2460 0.7127 0.5714  7 Mg 2.90-3.04
5 Tl 0.5000 0.0000 0.0000  6 Mg 2.95
6 Mg 0.2471 0.7325 0.8394  4 Tl 2.95-3.04, 3 Mg 3.27-3.29
7 Mg 0.2504 0.4283 0.3897  4 Tl 2.90-2.97, 2 Mg 3.19-3.20
8 Mg 0.7496 0.0386 0.4283  4 Tl 2.90-2.97, 2 Mg 3.19-3.20
9 Tl 0.7540 0.2873 0.4286  7 Mg 2.90-3.04
10 Mg 0.2504 0.9614 0.5717  4 Tl 2.90-2.97, 2 Mg 3.19-3.20
11 Mg 0.7496 0.3897 0.9614  4 Tl 2.90-2.97, 2 Mg 3.19-3.20
12 Mg 0.2471 0.1606 0.8932  4 Tl 2.95-3.04, 3 Mg 3.27-3.29
13 Mg 0.7529 0.8394 0.1068  4 Tl 2.95-3.04, 3 Mg 3.27-3.29
14 Tl 0.7540 0.1413 0.7127  7 Mg 2.90-3.04
15 Nd 0.2659 0.3333 0.6667  6 Tl 3.37-3.44
16 Mg 0.7529 0.8932 0.7325  4 Tl 2.95-3.04, 3 Mg 3.27-3.29
17 Mg 0.2471 0.1068 0.2675  4 Tl 2.95-3.04, 3 Mg 3.27-3.29
18 Tl 0.7540 0.5714 0.8587  7 Mg 2.90-3.04
19 Tl 0.2460 0.8587 0.2873  7 Mg 2.90-3.04
20 Mg 0.7496 0.5717 0.6103  4 Tl 2.90-2.97, 2 Mg 3.19-3.20
21 Tl 0.2460 0.4286 0.1413  7 Mg 2.90-3.04


Record 4
Material: TiBeTl3
Method: DFT, PBE
State: optimized geometry

The formation energy comes out at 0.75 eV/atom. Its density is 9.355 g/cm³. As for the spin magnetization: 0.0 Bohr magnetons per cell.

Unit cell a=4.9177 b=4.9177 c=4.9177 alpha=90.00 beta=90.00 gamma=90.00
Closest atoms and distances in Å follow each position.
Positions (direct):
1 Tl 0.0000 0.0000 0.5000  2 Be 2.46
2 Tl 0.0000 0.5000 0.0000  2 Be 2.46
3 Be 0.0000 0.0000 0.0000  6 Tl 2.46
4 Tl 0.5000 0.0000 0.0000  2 Be 2.46
5 Ti 0.5000 0.5000 0.5000  12 Tl 3.48


Record 5
Material: RbTePbSe2
Method: DFT, PBE
State: optimized geometry

Its density is 5.684 g/cm³. The final energy comes out at -17.4 eV/f.u. As for the spin magnetization: 0.0 Bohr magnetons per cell.

Unit cell a=6.4922 b=8.2240 c=6.9430 alpha=114.30 beta=90.00 gamma=90.00
Closest atoms and distances in Å follow each position.
Positions (direct):
1 Te 0.0000 0.0000 0.0000  2 Se 2.87
2 Pb 0.4986 0.0000 0.7500  4 Se 3.01
3 Rb 0.7859 0.5000 0.2500  8 Se 3.55-3.92
4 Pb 0.5014 0.0000 0.2500  4 Se 3.01
5 Se 0.6986 0.7199 0.8627  1 Te 2.87, 2 Pb 3.01
6 Rb 0.2141 0.5000 0.7500  8 Se 3.55-3.92
7 Se 0.3014 0.2801 0.1373  1 Te 2.87, 2 Pb 3.01
8 Te 0.0000 0.0000 0.5000  2 Se 2.87
9 Se 0.3014 0.7199 0.3627  1 Te 2.87, 2 Pb 3.01
10 Se 0.6986 0.2801 0.6373  1 Te 2.87, 2 Pb 3.01


Record 6
Material: Ag3Pd3Pt
Method: DFT, PBE
State: optimized geometry

The formation energy comes out at -0.01 eV/atom. Its density is 12.135 g/cm³. As for the spin magnetization: 0.0 Bohr magnetons per cell.

Unit cell a=6.3774 b=6.3774 c=6.3774 alpha=72.43 beta=72.43 gamma=72.43
Closest atoms and distances in Å follow each position.
Positions (direct):
1 Pd 0.1781 0.6009 0.4690  2 Pt 2.78-2.84, 5 Ag 2.80-2.89, 5 Pd 2.81-2.86
2 Pd 0.4690 0.1781 0.6009  2 Pt 2.78-2.84, 5 Ag 2.80-2.89, 5 Pd 2.81-2.86
3 Ag 0.6768 0.1074 0.9611  5 Pd 2.80-2.89, 5 Ag 2.83-2.89, 2 Pt 2.85-2.89
4 Ag 0.0389 0.3232 0.8926  5 Pd 2.80-2.89, 5 Ag 2.83-2.89, 2 Pt 2.85-2.89
5 Pt 0.2548 0.2548 0.2548  6 Pd 2.78-2.84, 6 Ag 2.85-2.89
6 Pd 0.5310 0.8219 0.3991  2 Pt 2.78-2.84, 5 Ag 2.80-2.89, 5 Pd 2.81-2.86
7 Pt 0.7452 0.7452 0.7452  6 Pd 2.78-2.84, 6 Ag 2.85-2.89
8 Pd 0.8219 0.3991 0.5310  2 Pt 2.78-2.84, 5 Ag 2.80-2.89, 5 Pd 2.81-2.86
9 Ag 0.1074 0.9611 0.6768  5 Pd 2.80-2.89, 5 Ag 2.83-2.89, 2 Pt 2.85-2.89
10 Ag 0.3232 0.8926 0.0389  5 Pd 2.80-2.89, 5 Ag 2.83-2.89, 2 Pt 2.85-2.89
11 Ag 0.8926 0.0389 0.3232  5 Pd 2.80-2.89, 5 Ag 2.83-2.89, 2 Pt 2.85-2.89
12 Ag 0.9611 0.6768 0.1074  5 Pd 2.80-2.89, 5 Ag 2.83-2.89, 2 Pt 2.85-2.89
13 Pd 0.6009 0.4690 0.1781  2 Pt 2.78-2.84, 5 Ag 2.80-2.89, 5 Pd 2.81-2.86
14 Pd 0.3991 0.5310 0.8219  2 Pt 2.78-2.84, 5 Ag 2.80-2.89, 5 Pd 2.81-2.86


Record 7
Material: Mg2TlHg2
Method: DFT, PBE
State: optimized geometry

The formation energy comes out at -0.02 eV/atom. Its density is 8.377 g/cm³. As for the spin magnetization: 0.0 Bohr magnetons per cell.

Unit cell a=4.2922 b=4.2922 c=7.6654 alpha=73.74 beta=73.74 gamma=90.00
Closest atoms and distances in Å follow each position.
Positions (direct):
1 Hg 0.7500 0.2500 0.5000  4 Mg 2.97, 4 Hg 3.04
2 Hg 0.2500 0.7500 0.5000  4 Mg 2.97, 4 Hg 3.04
3 Tl 0.0000 0.0000 0.0000  8 Mg 3.37
4 Mg 0.6045 0.6045 0.7911  1 Mg 2.94, 4 Hg 2.97
5 Mg 0.3955 0.3955 0.2089  1 Mg 2.94, 4 Hg 2.97


Record 8
Material: H3BrCl2
Method: DFT, PBE
State: optimized geometry

Its density is 1.507 g/cm³. The final energy comes out at -17.8 eV/f.u. As for the spin magnetization: 0.0 Bohr magnetons per cell.

Unit cell a=7.6698 b=3.8736 c=14.5302 alpha=51.76 beta=90.00 gamma=90.00
Closest atoms and distances in Å follow each position.
Positions (direct):
1 Cl 0.2500 0.5959 0.0715  1 H 1.29
2 H 0.2500 0.1716 0.1422  1 Cl 1.29
3 Br 0.7500 0.3770 0.2653  1 H 1.44
4 H 0.7500 0.8284 0.8578  1 Cl 1.29
5 Cl 0.7500 0.4041 0.9285  1 H 1.29
6 Cl 0.2500 0.6042 0.3995  1 H 1.29
7 H 0.7500 0.8200 0.5320  1 Cl 1.29
8 Cl 0.7500 0.3958 0.6005  1 H 1.29
9 Br 0.2500 0.6230 0.7347  1 H 1.44
10 H 0.2500 0.1800 0.4680  1 Cl 1.29
11 H 0.7500 0.8492 0.1818  1 Br 1.44
12 H 0.2500 0.1508 0.8182  1 Br 1.44


Record 9
Material: NaLi2OsF8
Method: DFT, PBE
State: optimized geometry

Its density is 4.062 g/cm³. The final energy comes out at -57.3 eV/f.u. As for the spin magnetization: 1.0 Bohr magnetons per cell.

Unit cell a=5.8805 b=5.8805 c=5.8805 alpha=106.29 beta=106.29 gamma=116.05
Closest atoms and distances in Å follow each position.
Positions (direct):
1 Li 0.5000 0.5000 0.0000  4 F 1.85
2 F 0.9899 0.3127 0.3228  1 Li 1.95, 1 Os 2.05
3 F 0.8714 0.6405 0.2309  1 Li 1.85, 1 Os 2.02
4 F 0.3595 0.1286 0.7691  1 Li 1.85, 1 Os 2.02
5 F 0.3595 0.5903 0.2309  1 Li 1.85, 1 Os 2.02
6 Li 0.7500 0.2500 0.5000  4 F 1.95
7 Na 0.0000 0.0000 0.0000  4 F 2.28
8 Os 0.2500 0.7500 0.5000  8 F 2.02-2.05
9 F 0.9899 0.6671 0.6772  1 Li 1.95, 1 Os 2.05
10 F 0.6873 0.0101 0.6772  1 Li 1.95, 1 Os 2.05
11 F 0.4097 0.6405 0.7691  1 Li 1.85, 1 Os 2.02
12 F 0.3329 0.0101 0.3228  1 Li 1.95, 1 Os 2.05


Record 10
Material: InSiTc2
Method: DFT, PBE
State: optimized geometry

Its density is 9.259 g/cm³. The final energy comes out at -28.3 eV/f.u. As for the spin magnetization: 0.0 Bohr magnetons per cell.

Unit cell a=4.4132 b=4.4132 c=4.4132 alpha=60.00 beta=60.00 gamma=60.00
Closest atoms and distances in Å follow each position.
Positions (direct):
1 Tc 0.7500 0.7500 0.7500  4 In 2.70, 4 Si 2.70
2 Tc 0.2500 0.2500 0.2500  4 In 2.70, 4 Si 2.70
3 In 0.5000 0.5000 0.5000  8 Tc 2.70
4 Si 0.0000 0.0000 0.0000  8 Tc 2.70


Values of volume, in order: 19.1; 20.6; 25.4; 23.8; 33.8; 16.4; 25.9; 28.3; 12.9; 15.2, all in A^3/atom.